Here is a relaxed Cr4FeCuSe4S4 crystal from the Alexandria database. Energies are from PBE.

abc: 7.2072 7.2072 7.2072
angles: 60.00 60.00 60.00
Last column: nearest neighbours and their distance in Å.
Positions (direct):
Se  0.3669  0.3669  0.8993  1 Fe 2.35, 3 Cr 2.56
S  0.8829  0.8829  0.3512  1 Cu 2.35, 3 Cr 2.39
Se  0.8993  0.3669  0.3669  1 Fe 2.35, 3 Cr 2.56
Cu  0.7500  0.7500  0.7500  4 S 2.35
Cr  0.1172  0.6483  0.1172  3 S 2.39, 3 Se 2.56
Cr  0.1172  0.1172  0.1172  3 S 2.39, 3 Se 2.56
Se  0.3669  0.8993  0.3669  1 Fe 2.35, 3 Cr 2.56
S  0.8829  0.8829  0.8829  1 Cu 2.35, 3 Cr 2.39
S  0.3512  0.8829  0.8829  1 Cu 2.35, 3 Cr 2.39
Fe  0.5000  0.5000  0.5000  4 Se 2.35
Cr  0.1172  0.1172  0.6483  3 S 2.39, 3 Se 2.56
Se  0.3669  0.3669  0.3669  1 Fe 2.35, 3 Cr 2.56
Cr  0.6483  0.1172  0.1172  3 S 2.39, 3 Se 2.56
S  0.8829  0.3512  0.8829  1 Cu 2.35, 3 Cr 2.39

Values from the calculation:
formation energy without anion corrections: -0.51 eV/atom